Density functional theory data (PBE) for a geometry-optimized BaSi2O5 structure.

E_form (uncorrected) = -2838 meV/atom
magnetic moment = 0.0 Bohr magnetons per cell

Geometry as POSCAR:
```
BaSi2O5
1.0
5.203 0.000 0.000
0.000 7.596 0.000
0.000 0.000 13.416
Si O Ba
8 20 4
Direct
0.798 0.958 0.699 Si
0.798 0.542 0.699 Si
0.298 0.542 0.801 Si
0.702 0.042 0.199 Si
0.202 0.042 0.301 Si
0.298 0.958 0.801 Si
0.202 0.458 0.301 Si
0.702 0.458 0.199 Si
0.715 0.525 0.584 O
0.215 0.525 0.916 O
0.669 0.250 0.234 O
0.586 0.042 0.779 O
0.831 0.750 0.734 O
0.715 0.975 0.584 O
0.215 0.975 0.916 O
0.086 0.042 0.721 O
0.914 0.542 0.279 O
0.586 0.458 0.779 O
0.169 0.250 0.266 O
0.785 0.025 0.084 O
0.285 0.025 0.416 O
0.414 0.542 0.221 O
0.331 0.750 0.766 O
0.914 0.958 0.279 O
0.285 0.475 0.416 O
0.086 0.458 0.721 O
0.785 0.475 0.084 O
0.414 0.958 0.221 O
0.691 0.250 0.465 Ba
0.191 0.250 0.035 Ba
0.809 0.750 0.965 Ba
0.309 0.750 0.535 Ba
```